VASP calculation (PBEsol) on a geometry-optimized LiPt2Au structure.

a = 5.3875 Å, b = 9.3763 Å, c = 2.7278 Å
α = 90.00°, β = 119.46°, γ = 90.00°
Last column: nearest neighbours and their distance in Å.
Space group C2/m (No. 12)
Inequivalent atoms, fractional coordinates:
Li 0.0000 0.0000 0.0000 [2 per cell]  4 Au 2.69-2.73, 4 Pt 2.71, 2 Li 2.73
Pt 0.2500 0.2500 0.5000 [4 per cell]  6 Pt 2.69-2.73, 2 Li 2.71, 2 Au 2.71
Au 0.0000 0.5000 0.0000 [2 per cell]  4 Li 2.69-2.73, 4 Pt 2.71, 2 Au 2.73

=====

VASP calculation (PBEsol) on a geometry-optimized LiPtAu2 structure.

a = 4.0009 Å, b = 4.0009 Å, c = 7.6946 Å
α = 90.00°, β = 90.00°, γ = 90.00°
Last column: nearest neighbours and their distance in Å.
Space group I4/mmm (No. 139)
Inequivalent atoms, fractional coordinates:
Li 0.0000 0.0000 0.0000 [2 per cell]  8 Au 2.78, 4 Pt 2.83
Pt 0.0000 0.0000 0.5000 [2 per cell]  8 Au 2.78, 4 Li 2.83
Au 0.0000 0.5000 0.2500 [4 per cell]  4 Li 2.78, 4 Pt 2.78, 4 Au 2.83

=====

VASP calculation (PBEsol) on a geometry-optimized LiPt2Au structure.

a = 2.7211 Å, b = 4.6954 Å, c = 4.6988 Å
α = 90.00°, β = 91.32°, γ = 90.00°
Last column: nearest neighbours and their distance in Å.
Space group P2/m (No. 10)
Inequivalent atoms, fractional coordinates:
Li 0.0000 0.0000 0.0000 [1 per cell]  4 Au 2.69-2.74, 4 Pt 2.70, 2 Li 2.72
Pt 0.2415 0.5000 0.7550 [2 per cell]  6 Pt 2.67-2.81, 2 Li 2.70, 2 Au 2.74
Au 0.5000 0.0000 0.5000 [1 per cell]  4 Li 2.69-2.74, 2 Au 2.72, 4 Pt 2.74

=====

VASP calculation (PBEsol) on a geometry-optimized LiPt2Au structure.

a = 2.7723 Å, b = 4.6234 Å, c = 4.6642 Å
α = 90.00°, β = 90.00°, γ = 90.00°
Last column: nearest neighbours and their distance in Å.
Space group Pmmm (No. 47)
Inequivalent atoms, fractional coordinates:
Li 0.0000 0.0000 0.0000 [1 per cell]  4 Au 2.70, 4 Pt 2.71, 2 Li 2.77
Pt 0.0000 0.5000 0.5000 [1 per cell]  6 Pt 2.70-2.77, 4 Au 2.71
Pt 0.5000 0.0000 0.5000 [1 per cell]  6 Pt 2.70-2.77, 4 Li 2.71
Au 0.5000 0.5000 0.0000 [1 per cell]  4 Li 2.70, 4 Pt 2.71, 2 Au 2.77

=====

VASP calculation (PBEsol) on a geometry-optimized LiPtAu2 structure.

a = 9.3936 Å, b = 2.8220 Å, c = 4.7472 Å
α = 90.00°, β = 99.99°, γ = 90.00°
Last column: nearest neighbours and their distance in Å.
Space group Cm (No. 8)
Inequivalent atoms, fractional coordinates:
Li 0.0000 0.0000 0.0000 [2 per cell]  7 Au 2.71-2.83, 3 Pt 2.79-2.85, 2 Li 2.82
Pt 0.2461 0.5000 0.2518 [2 per cell]  7 Au 2.74-2.79, 3 Li 2.79-2.85, 2 Pt 2.82
Au 0.2469 0.0000 0.7575 [2 per cell]  4 Pt 2.74-2.78, 3 Li 2.76-2.83, 5 Au 2.82-2.87
Au 0.4941 0.0000 0.4864 [2 per cell]  4 Li 2.71-2.81, 3 Pt 2.79, 5 Au 2.82-2.87

=====

VASP calculation (PBEsol) on a geometry-optimized LiPtAu2 structure.

a = 3.8977 Å, b = 3.8977 Å, c = 8.0950 Å
α = 90.00°, β = 90.00°, γ = 90.00°
Last column: nearest neighbours and their distance in Å.
Space group I-4m2 (No. 119)
Inequivalent atoms, fractional coordinates:
Li 0.0000 0.0000 0.0000 [2 per cell]  8 Au 2.76-2.81, 4 Pt 2.81
Pt 0.0000 0.5000 0.2500 [2 per cell]  8 Au 2.76-2.81, 4 Li 2.81
Au 0.0000 0.0000 0.5000 [2 per cell]  4 Li 2.76, 4 Pt 2.81, 4 Au 2.81
Au 0.0000 0.5000 0.7500 [2 per cell]  4 Pt 2.76, 4 Li 2.81, 4 Au 2.81

=====

VASP calculation (PBEsol) on a geometry-optimized LiPtAu2 structure.

a = 5.6534 Å, b = 7.3844 Å, c = 2.9570 Å
α = 90.00°, β = 90.00°, γ = 90.00°
Last column: nearest neighbours and their distance in Å.
Space group Cmmm (No. 65)
Inequivalent atoms, fractional coordinates:
Li 0.0000 0.0000 0.0000 [2 per cell]  8 Au 2.76, 2 Pt 2.83, 2 Li 2.96
Pt 0.0000 0.5000 0.0000 [2 per cell]  8 Au 2.76, 2 Li 2.83, 2 Pt 2.96
Au 0.2500 0.2500 0.5000 [4 per cell]  4 Li 2.76, 4 Pt 2.76, 4 Au 2.83-2.96

=====

VASP calculation (PBEsol) on a geometry-optimized LiPt2Au structure.

a = 3.8470 Å, b = 3.8470 Å, c = 3.9617 Å
α = 90.00°, β = 90.00°, γ = 90.00°
Last column: nearest neighbours and their distance in Å.
Space group P4/mmm (No. 123)
Inequivalent atoms, fractional coordinates:
Li 0.0000 0.0000 0.0000 [1 per cell]  4 Au 2.72, 8 Pt 2.76
Pt 0.0000 0.5000 0.5000 [2 per cell]  4 Pt 2.72, 4 Li 2.76, 4 Au 2.76
Au 0.5000 0.5000 0.0000 [1 per cell]  4 Li 2.72, 8 Pt 2.76

=====

VASP calculation (PBEsol) on a geometry-optimized Li2TiPtAu structure.

a = 4.6526 Å, b = 4.6526 Å, c = 4.5239 Å
α = 90.00°, β = 90.00°, γ = 90.00°
Last column: nearest neighbours and their distance in Å.
Space group P4/mmm (No. 123)
Inequivalent atoms, fractional coordinates:
Li 0.0000 0.5000 0.0000 [2 per cell]  2 Ti 2.33
Ti 0.0000 0.0000 0.0000 [1 per cell]  2 Pt 2.26, 4 Li 2.33
Pt 0.0000 0.0000 0.5000 [1 per cell]  2 Ti 2.26
Au 0.5000 0.5000 0.5000 [1 per cell]  8 Li 3.24, 4 Pt 3.29

=====

VASP calculation (PBEsol) on a geometry-optimized RbLi3Au structure.

a = 5.1765 Å, b = 5.1765 Å, c = 5.1765 Å
α = 90.00°, β = 90.00°, γ = 90.00°
Last column: nearest neighbours and their distance in Å.
Space group Pm-3m (No. 221)
Inequivalent atoms, fractional coordinates:
Rb 0.0000 0.0000 0.0000 [1 per cell]  12 Li 3.66
Li 0.0000 0.5000 0.5000 [3 per cell]  2 Au 2.59
Au 0.5000 0.5000 0.5000 [1 per cell]  6 Li 2.59

=====

VASP calculation (PBEsol) on a geometry-optimized RbLi2Au2 structure.

a = 4.5319 Å, b = 4.5319 Å, c = 11.2384 Å
α = 90.00°, β = 90.00°, γ = 90.00°
Last column: nearest neighbours and their distance in Å.
Space group I4/mmm (No. 139)
Inequivalent atoms, fractional coordinates:
Rb 0.0000 0.0000 0.0000 [2 per cell]  8 Au 3.49, 8 Li 3.61
Li 0.0000 0.5000 0.2500 [4 per cell]  4 Au 2.68
Au 0.0000 0.0000 0.3771 [4 per cell]  4 Li 2.68, 1 Au 2.76

=====

VASP calculation (PBEsol) on a geometry-optimized Li4ReAu structure.

a = 6.7727 Å, b = 6.7727 Å, c = 6.7727 Å
α = 90.00°, β = 90.00°, γ = 90.00°
Last column: nearest neighbours and their distance in Å.
Space group F-43m (No. 216)
Inequivalent atoms, fractional coordinates:
Li 0.1253 0.1253 0.1253 [16 per cell]  6 Li 2.39-2.40
Re 0.0000 0.0000 0.5000 [4 per cell]  12 Li 2.81, 4 Au 2.93
Au 0.2500 0.2500 0.7500 [4 per cell]  12 Li 2.81, 4 Re 2.93

=====

no.,density of states at the Fermi level (states/eV/f.u.),formation energy from the elements (eV per atom)
1,1.84,-0.33
2,1.88,-0.26
3,1.75,-0.29
4,1.69,-0.33
5,1.68,-0.29
6,1.41,-0.29
7,0.97,-0.34
8,3.72,-0.30
9,4.16,0.86
10,3.07,-0.09
11,1.73,-0.27
12,3.35,0.41